# PBE Li4HgSb2, optimized geometry
# **Excess energy over the best structure of this formula in the dataset**: 61 meV per atom
# **Total energy**: -2.69 eV per atom
# **Formation energy (no corrections)**: -0.376 eV/atom
# **N(E_F)**: 2.19 states/eV/cell
data_Li4HgSb2
_symmetry_space_group_name_H-M 'P 1'
_symmetry_Int_Tables_number 1
_symmetry_space_group_name_Hall 'P 1'
_cell_length_a 7.340
_cell_length_b 5.524
_cell_length_c 7.675
_cell_angle_alpha 90.00
_cell_angle_beta 93.75
_cell_angle_gamma 90.00
loop_
_atom_site_label
_atom_site_type_symbol
_atom_site_fract_x
_atom_site_fract_y
_atom_site_fract_z
_atom_site_occupancy
Li1 Li 0.110 0.250 0.124 1
Li2 Li 0.199 0.006 0.537 1
Li3 Li 0.199 0.494 0.537 1
Li4 Li 0.322 0.750 0.965 1
Li5 Li 0.678 0.250 0.035 1
Li6 Li 0.801 0.506 0.463 1
Li7 Li 0.801 0.994 0.463 1
Li8 Li 0.890 0.750 0.876 1
Hg1 Hg 0.451 0.250 0.337 1
Hg2 Hg 0.549 0.750 0.663 1
Sb1 Sb 0.067 0.750 0.241 1
Sb2 Sb 0.334 0.250 0.830 1
Sb3 Sb 0.666 0.750 0.170 1
Sb4 Sb 0.933 0.250 0.759 1